(1)
Below is crystalline Rb2MnBr6O at its relaxed geometry, with properties calculated at the PBE with a Hubbard U level.

Structure (extended XYZ):
```
10
Lattice="-3.609 3.609 5.926 3.609 -3.609 5.926 3.609 3.609 -5.926" Properties=species:S:1:pos:R:3 pbc="T T T"
Rb 3.609 0.000 2.963
Rb 0.000 3.609 2.963
Mn 0.000 0.000 0.000
Br 0.000 0.000 2.505
Br 1.975 1.975 0.000
Br 1.633 -1.633 5.926
Br -1.633 1.633 5.926
Br 1.633 1.633 5.926
Br 0.000 0.000 9.346
O 0.000 0.000 5.926
```

final energy	-31.968	eV per formula unit
SG	No. 139

---

(2)
Below is crystalline Mn3SbBr2O6 at its relaxed geometry, with properties calculated at the PBE with a Hubbard U level.

Structure (extended XYZ):
```
12
Lattice="5.262 -3.088 0.000 5.262 3.088 0.000 -1.625 0.000 5.528" Properties=species:S:1:pos:R:3 pbc="T T T"
Mn 0.000 0.000 0.000
Mn 1.818 1.544 2.764
Mn 1.818 -1.544 2.764
Sb 4.449 0.000 2.764
Br 0.899 0.000 4.694
Br 7.999 0.000 0.834
O 3.470 1.479 3.798
O 2.572 0.000 1.866
O 5.428 1.479 1.730
O 3.470 -1.479 3.798
O 6.326 0.000 3.661
O 5.428 -1.479 1.730
```

final energy	-73.237	eV per formula unit
SG	No. 12

---

(3)
Below is crystalline ScMnBrO2 at its relaxed geometry, with properties calculated at the PBE with a Hubbard U level.

Structure (extended XYZ):
```
5
Lattice="4.377 0.000 0.000 0.000 4.377 0.000 0.000 0.000 4.685" Properties=species:S:1:pos:R:3 pbc="T T T"
Sc 0.000 0.000 0.000
Mn 2.188 2.188 0.000
Br 2.188 2.188 2.343
O 0.000 2.188 2.343
O 2.188 0.000 2.343
```

final energy	-23.100	eV per formula unit
SG	No. 123